DFT (SCAN) results for a PBEsol-optimized structure of AgAuC2Cl.

Structure (extended XYZ):
```
5
Lattice="3.679 0.000 0.000 0.000 3.679 0.000 0.000 0.000 5.899" Properties=species:S:1:pos:R:3 pbc="T T T"
Ag 0.000 0.000 0.000
Au 1.840 1.840 0.000
C 0.000 1.840 2.950
C 1.840 0.000 2.950
Cl 1.840 1.840 2.950
```

Computed properties:
* total DFT energy (no corrections): -22.919 eV/atom
* space group: P4/mmm, No. 123


DFT (SCAN) results for a PBEsol-optimized structure of AgAu2CF.

Structure (extended XYZ):
```
5
Lattice="5.071 0.000 0.000 0.000 5.071 0.000 0.000 0.000 3.928" Properties=species:S:1:pos:R:3 pbc="T T T"
Ag 0.000 0.000 0.000
Au 0.000 2.536 0.000
Au 2.536 0.000 0.000
C 2.536 2.536 1.964
F 0.000 0.000 1.964
```

Computed properties:
* total DFT energy (no corrections): -35.086 eV/atom
* space group: P4/mmm, No. 123


DFT (SCAN) results for a PBEsol-optimized structure of CaAgAu2.

Structure (extended XYZ):
```
4
Lattice="0.000 2.993 4.243 2.976 0.000 4.243 2.976 2.993 0.000" Properties=species:S:1:pos:R:3 pbc="T T T"
Ca 0.000 0.000 0.000
Ag 4.464 4.490 6.365
Au 1.488 1.497 2.122
Au 2.976 2.993 4.243
```

Computed properties:
* total DFT energy (no corrections): -45.371 eV/atom
* space group: F222, No. 22
* calculated formation energy: -535 meV/atom


DFT (SCAN) results for a PBEsol-optimized structure of Ca2AgAu.

Structure (extended XYZ):
```
4
Lattice="5.090 0.000 0.000 0.000 5.090 0.000 0.000 0.000 3.583" Properties=species:S:1:pos:R:3 pbc="T T T"
Ca 0.000 2.545 0.000
Ca 2.545 0.000 0.000
Ag 0.000 0.000 1.792
Au 2.545 2.545 1.792
```

Computed properties:
* total DFT energy (no corrections): -30.597 eV/atom
* space group: P4/mmm, No. 123
* ΔE to the lowest computed polymorph: 0.0015 eV/atom
* calculated formation energy: -635 meV/atom


DFT (SCAN) results for a PBEsol-optimized structure of Ca2AgAu.

Structure (extended XYZ):
```
4
Lattice="0.000 3.592 3.592 3.592 0.000 3.592 3.592 3.592 0.000" Properties=species:S:1:pos:R:3 pbc="T T T"
Ca 1.796 1.796 1.796
Ca 5.389 5.389 5.389
Ag 0.000 0.000 0.000
Au 3.592 3.592 3.592
```

Computed properties:
* total DFT energy (no corrections): -30.599 eV/atom
* space group: Fm-3m, No. 225
* ΔE to the lowest computed polymorph: 0.0000 eV/atom
* calculated formation energy: -636 meV/atom


DFT (SCAN) results for a PBEsol-optimized structure of CaAgAu2.

Structure (extended XYZ):
```
4
Lattice="0.000 3.375 3.375 3.375 0.000 3.375 3.375 3.375 0.000" Properties=species:S:1:pos:R:3 pbc="T T T"
Ca 0.000 0.000 0.000
Ag 1.687 1.687 1.687
Au 3.375 3.375 3.375
Au 5.062 5.062 5.062
```

Computed properties:
* total DFT energy (no corrections): -45.331 eV/atom
* space group: F-43m, No. 216
* calculated formation energy: -495 meV/atom


DFT (SCAN) results for a PBEsol-optimized structure of CaAgAu2.

Structure (extended XYZ):
```
4
Lattice="3.535 0.000 0.000 0.000 3.611 0.000 0.000 0.000 6.076" Properties=species:S:1:pos:R:3 pbc="T T T"
Ca 0.000 0.000 0.000
Ag 0.000 0.000 3.038
Au 1.767 1.805 1.644
Au 1.767 1.805 4.431
```

Computed properties:
* total DFT energy (no corrections): -45.397 eV/atom
* space group: Pmmm, No. 47
* calculated formation energy: -560 meV/atom


DFT (SCAN) results for a PBEsol-optimized structure of CaAg2Au2.

Structure (extended XYZ):
```
5
Lattice="-1.972 1.972 6.583 1.972 -1.972 6.583 1.972 1.972 -6.583" Properties=species:S:1:pos:R:3 pbc="T T T"
Ca 0.000 0.000 0.000
Ag 1.972 0.000 3.291
Ag 0.000 1.972 3.291
Au 0.000 0.000 5.254
Au 0.000 0.000 7.912
```

Computed properties:
* total DFT energy (no corrections): -42.605 eV/atom
* space group: I4/mmm, No. 139
* calculated formation energy: -462 meV/atom


DFT (SCAN) results for a PBEsol-optimized structure of Ca2AgAu.

Structure (extended XYZ):
```
4
Lattice="-2.173 2.173 4.801 2.173 -2.173 4.801 2.173 2.173 -4.801" Properties=species:S:1:pos:R:3 pbc="T T T"
Ca 0.000 0.000 0.000
Ca 0.000 2.173 2.401
Ag 0.000 0.000 4.801
Au 2.173 0.000 2.401
```

Computed properties:
* total DFT energy (no corrections): -30.450 eV/atom
* space group: I-4m2, No. 119
* ΔE to the lowest computed polymorph: 0.1485 eV/atom
* calculated formation energy: -488 meV/atom


DFT (SCAN) results for a PBEsol-optimized structure of CdAgAu3.

Structure (extended XYZ):
```
5
Lattice="4.960 0.000 0.000 0.000 4.960 0.000 0.000 0.000 4.960" Properties=species:S:1:pos:R:3 pbc="T T T"
Cd 0.000 0.000 0.000
Ag 2.480 2.480 2.480
Au 0.000 2.480 2.480
Au 2.480 0.000 2.480
Au 2.480 2.480 0.000
```

Computed properties:
* total DFT energy (no corrections): -53.169 eV/atom
* space group: Pm-3m, No. 221
* calculated formation energy: 682 meV/atom


DFT (SCAN) results for a PBEsol-optimized structure of CdAgAu.

Structure (extended XYZ):
```
3
Lattice="4.624 0.000 0.000 -2.312 4.005 0.000 0.000 0.000 2.853" Properties=species:S:1:pos:R:3 pbc="T T T"
Cd 0.000 0.000 0.000
Ag 0.000 2.670 1.000
Au 2.312 1.335 1.898
```

Computed properties:
* total DFT energy (no corrections): -43.768 eV/atom
* space group: P3m1, No. 156
* ΔE to the lowest computed polymorph: 0.0346 eV/atom
* calculated formation energy: -122 meV/atom


DFT (SCAN) results for a PBEsol-optimized structure of CdAg2Au2.

Structure (extended XYZ):
```
10
Lattice="7.342 0.000 0.000 0.000 7.342 0.000 0.000 0.000 3.405" Properties=species:S:1:pos:R:3 pbc="T T T"
Cd 0.000 0.000 0.000
Cd 3.671 3.671 0.000
Ag 1.195 2.475 1.703
Ag 2.475 6.146 1.703
Ag 4.866 1.195 1.703
Ag 6.146 4.866 1.703
Au 0.993 4.664 0.000
Au 2.678 0.993 0.000
Au 4.664 6.348 0.000
Au 6.348 2.678 0.000
```

Computed properties:
* total DFT energy (no corrections): -46.354 eV/atom
* space group: P4/mbm, No. 127
* calculated formation energy: -61 meV/atom


DFT (SCAN) results for a PBEsol-optimized structure of CdAgAu.

Structure (extended XYZ):
```
3
Lattice="-1.486 1.486 5.972 1.486 -1.486 5.972 1.486 1.486 -5.972" Properties=species:S:1:pos:R:3 pbc="T T T"
Cd 0.000 0.000 0.000
Ag 0.000 0.000 7.983
Au 0.000 0.000 3.963
```

Computed properties:
* total DFT energy (no corrections): -43.767 eV/atom
* space group: I4mm, No. 107
* ΔE to the lowest computed polymorph: 0.0360 eV/atom
* calculated formation energy: -121 meV/atom


DFT (SCAN) results for a PBEsol-optimized structure of CdAg4Au.

Structure (extended XYZ):
```
6
Lattice="0.000 3.782 3.782 3.782 0.000 3.782 3.782 3.782 0.000" Properties=species:S:1:pos:R:3 pbc="T T T"
Cd 0.000 0.000 0.000
Ag 4.727 2.836 2.836
Ag 2.836 4.727 2.836
Ag 2.836 2.836 4.727
Ag 4.727 4.727 4.727
Au 1.891 1.891 1.891
```

Computed properties:
* total DFT energy (no corrections): -37.404 eV/atom
* space group: F-43m, No. 216
* calculated formation energy: 103 meV/atom


DFT (SCAN) results for a PBEsol-optimized structure of CdAgAu.

Structure (extended XYZ):
```
3
Lattice="-1.489 2.018 4.379 1.489 -2.018 4.379 1.489 2.018 -4.379" Properties=species:S:1:pos:R:3 pbc="T T T"
Cd 0.000 0.000 0.000
Ag 0.000 0.000 5.849
Au 0.000 0.000 2.916
```

Computed properties:
* total DFT energy (no corrections): -43.803 eV/atom
* space group: Imm2, No. 44
* ΔE to the lowest computed polymorph: 0.0000 eV/atom
* calculated formation energy: -156 meV/atom